1.
A relaxed structure of MnTl2Br. Source: Alexandria, functional PBE.

## Properties
distance to the lowest polymorph of the same formula: 0.040 eV per atom
magnetization: 1.09 μB per atom
uncorrected formation energy: 9 kJ/mol of formula units
total energy: -15.48 eV/f.u.

Cell: 3.3597 3.3597 9.6361 Å, 90.00 90.00 90.00°
Last column: nearest neighbours and their distance in Å.
Fractional positions:
Br1 0.0000 0.0000 0.5801  4 Mn 2.81
Mn1 0.5000 0.5000 0.7365  4 Br 2.81
Tl1 0.0000 0.0000 0.9524  4 Mn 3.16, 4 Tl 3.36
Tl2 0.5000 0.5000 0.2310  8 Tl 3.36-3.59


2.
A relaxed structure of TaSbMo. Source: Alexandria, functional PBE.

## Properties
distance to the lowest polymorph of the same formula: 0.194 eV per atom
magnetization: 0.00 μB per atom
uncorrected formation energy: 32 kJ/mol of formula units
total energy: -26.48 eV/f.u.

Cell: 3.4524 13.6612 4.6510 Å, 90.00 90.00 90.00°
Last column: nearest neighbours and their distance in Å.
Fractional positions:
Ta1 0.0000 0.7353 0.2500  2 Mo 2.75, 4 Ta 2.92, 4 Sb 2.94-3.05
Ta2 0.0000 0.2647 0.7500  2 Mo 2.75, 4 Ta 2.92, 4 Sb 2.94-3.05
Ta3 0.5000 0.2353 0.2500  2 Mo 2.75, 4 Ta 2.92, 4 Sb 2.94-3.05
Ta4 0.5000 0.7647 0.7500  2 Mo 2.75, 4 Ta 2.92, 4 Sb 2.94-3.05
Sb1 0.0000 0.4094 0.2500  6 Mo 2.89-2.90, 4 Ta 2.94-3.05
Sb2 0.0000 0.5906 0.7500  6 Mo 2.89-2.90, 4 Ta 2.94-3.05
Sb3 0.5000 0.9094 0.2500  6 Mo 2.89-2.90, 4 Ta 2.94-3.05
Sb4 0.5000 0.0906 0.7500  6 Mo 2.89-2.90, 4 Ta 2.94-3.05
Mo1 0.0000 0.0790 0.2500  2 Ta 2.75, 6 Sb 2.89-2.90
Mo2 0.0000 0.9210 0.7500  2 Ta 2.75, 6 Sb 2.89-2.90
Mo3 0.5000 0.5790 0.2500  2 Ta 2.75, 6 Sb 2.89-2.90
Mo4 0.5000 0.4210 0.7500  2 Ta 2.75, 6 Sb 2.89-2.90


3.
A relaxed structure of Er4Tl2PSe. Source: Alexandria, functional PBE.

## Properties
magnetization: 0.00 μB per atom
uncorrected formation energy: -774 kJ/mol of formula units
total energy: -39.90 eV/f.u.

Cell: 3.8891 6.7680 8.1540 Å, 105.84 90.00 90.00°
Last column: nearest neighbours and their distance in Å.
Fractional positions:
Er1 0.5000 0.2256 0.2065  2 P 2.75, 1 Se 2.83
Er2 0.5000 0.7744 0.7935  2 P 2.75, 1 Se 2.83
Er3 0.0000 0.2514 0.7865  1 P 2.75, 2 Se 2.84
Er4 0.0000 0.7486 0.2135  1 P 2.75, 2 Se 2.84
Tl1 0.5000 0.0000 0.5000  6 Er 3.16-3.17
Tl2 0.0000 0.5000 0.5000  6 Er 3.23-3.25
P1 0.0000 0.0000 0.0000  6 Er 2.75
Se1 0.5000 0.5000 0.0000  6 Er 2.83-2.84